Entry 1:
The following is a DFT calculation (PBE-GGA) of a relaxed Ba2CaOs crystal.

abc: 5.6291 5.6291 5.6291
angles: 60.00 60.00 60.00
Closest atoms and distances in Å follow each position.
Atoms (fractional coordinates):
Ba  0.2500  0.2500  0.2500  4 Ca 3.45, 4 Os 3.45
Ba  0.7500  0.7500  0.7500  4 Os 3.45, 4 Ca 3.45
Ca  0.0000  0.0000  0.0000  8 Ba 3.45
Os  0.5000  0.5000  0.5000  8 Ba 3.45

Total magnetization = 0.00 μB per formula unit
Distance to the lowest polymorph of the same formula = 289 meV per atom
Total energy = -3.556 eV per atom
Volume = 31.53 Å³ per atom
Energy of formation = 0.71 eV/atom
Space-group type = No. 225

Entry 2:
The following is a DFT calculation (PBE-GGA) of a relaxed Ba3CaOs crystal.

abc: 6.1581 6.1581 6.1581
angles: 90.00 90.00 90.00
Closest atoms and distances in Å follow each position.
Atoms (fractional coordinates):
Ba  0.0000  0.0000  0.5000  2 Os 3.08
Ba  0.0000  0.5000  0.0000  2 Os 3.08
Ba  0.5000  0.0000  0.0000  2 Os 3.08
Ca  0.5000  0.5000  0.5000  12 Ba 4.35
Os  0.0000  0.0000  0.0000  6 Ba 3.08

Total magnetization = 0.00 μB per formula unit
Distance to the lowest polymorph of the same formula = 0 meV per atom
Total energy = -3.386 eV per atom
Volume = 46.71 Å³ per atom
Energy of formation = 0.41 eV/atom
Space-group type = No. 221

Entry 3:
The following is a DFT calculation (PBE-GGA) of a relaxed BaCaOs2 crystal.

abc: 3.0274 3.0274 9.9352
angles: 90.00 90.00 111.87
Closest atoms and distances in Å follow each position.
Atoms (fractional coordinates):
Ba  0.0000  0.0000  0.0000  4 Ba 3.03, 4 Os 3.13
Ca  0.0000  0.0000  0.5000  4 Os 2.89, 4 Ca 3.03
Os  0.5000  0.5000  0.2647  2 Ca 2.89, 4 Os 3.03, 2 Ba 3.13
Os  0.5000  0.5000  0.7353  2 Ca 2.89, 4 Os 3.03, 2 Ba 3.13

Total magnetization = 0.00 μB per formula unit
Distance to the lowest polymorph of the same formula = 989 meV per atom
Total energy = -5.430 eV per atom
Volume = 21.13 Å³ per atom
Energy of formation = 1.17 eV/atom
Space-group type = No. 65

Entry 4:
The following is a DFT calculation (PBE-GGA) of a relaxed BaCaOs2 crystal.

abc: 6.5257 6.5257 6.5257
angles: 99.97 99.97 130.82
Closest atoms and distances in Å follow each position.
Atoms (fractional coordinates):
Ba  0.0000  0.0000  0.0000  2 Ca 2.72
Ba  0.7500  0.2500  0.5000  2 Ca 2.72
Ca  0.2500  0.7500  0.5000  2 Ba 2.72, 4 Os 2.96
Ca  0.5000  0.5000  0.0000  2 Ba 2.72, 4 Os 2.96
Os  0.1399  0.6250  0.0149  2 Os 2.73, 2 Ca 2.96
Os  0.3750  0.3899  0.5149  2 Os 2.73, 2 Ca 2.96
Os  0.6101  0.1250  0.9851  2 Os 2.73, 2 Ca 2.96
Os  0.8750  0.8601  0.4851  2 Os 2.73, 2 Ca 2.96

Total magnetization = 0.58 μB per formula unit
Distance to the lowest polymorph of the same formula = 1151 meV per atom
Total energy = -5.268 eV per atom
Volume = 23.90 Å³ per atom
Energy of formation = 1.33 eV/atom
Space-group type = No. 122

Entry 5:
The following is a DFT calculation (PBE-GGA) of a relaxed BaCaOs2 crystal.

abc: 10.5130 10.5130 10.5130
angles: 16.75 16.75 16.75
Closest atoms and distances in Å follow each position.
Atoms (fractional coordinates):
Ba  0.0000  0.0000  0.0000  6 Ba 3.06, 6 Os 3.32
Ca  0.5000  0.5000  0.5000  6 Os 2.96, 6 Ca 3.06
Os  0.2431  0.2431  0.2431  3 Ca 2.96, 6 Os 3.06, 3 Ba 3.32
Os  0.7569  0.7569  0.7569  3 Ca 2.96, 6 Os 3.06, 3 Ba 3.32

Total magnetization = 0.00 μB per formula unit
Distance to the lowest polymorph of the same formula = 1032 meV per atom
Total energy = -5.387 eV per atom
Volume = 21.03 Å³ per atom
Energy of formation = 1.21 eV/atom
Space-group type = No. 166

Entry 6:
The following is a DFT calculation (PBE-GGA) of a relaxed BaCaOs2 crystal.

abc: 5.6895 5.6895 6.9755
angles: 120.15 120.15 43.51
Closest atoms and distances in Å follow each position.
Atoms (fractional coordinates):
Ba  0.0000  0.0000  0.0000  6 Os 3.41-3.43
Ca  0.5000  0.5000  0.5000  6 Os 2.96-3.20
Os  0.2517  0.2517  0.5785  2 Os 2.37
Os  0.7483  0.7483  0.4215  2 Os 2.37

Total magnetization = 0.00 μB per formula unit
Distance to the lowest polymorph of the same formula = 296 meV per atom
Total energy = -6.123 eV per atom
Volume = 32.69 Å³ per atom
Energy of formation = 0.47 eV/atom
Space-group type = No. 12

Entry 7:
The following is a DFT calculation (PBE-GGA) of a relaxed Ba2CaOs crystal.

abc: 11.4194 11.4194 11.4194
angles: 21.25 21.25 21.25
Closest atoms and distances in Å follow each position.
Atoms (fractional coordinates):
Ba  0.2241  0.2241  0.2241  3 Os 3.10
Ba  0.7759  0.7759  0.7759  3 Os 3.10
Ca  0.0000  0.0000  0.0000  6 Ca 4.21, 6 Ba 4.39
Os  0.5000  0.5000  0.5000  6 Ba 3.10

Total magnetization = 0.74 μB per formula unit
Distance to the lowest polymorph of the same formula = 276 meV per atom
Total energy = -3.569 eV per atom
Volume = 42.85 Å³ per atom
Energy of formation = 0.70 eV/atom
Space-group type = No. 166

Entry 8:
The following is a DFT calculation (PBE-GGA) of a relaxed BaCaOs2 crystal.

abc: 5.8313 5.8313 5.8313
angles: 146.72 129.36 61.96
Closest atoms and distances in Å follow each position.
Atoms (fractional coordinates):
Ba  0.0000  0.0000  0.0000  4 Ca 3.00, 4 Os 3.04, 2 Ba 3.34
Ca  0.5000  0.5000  0.0000  4 Os 2.98, 4 Ba 3.00
Os  0.2536  0.7536  0.5000  2 Ca 2.98, 4 Os 3.00, 2 Ba 3.04
Os  0.7464  0.2464  0.5000  2 Ca 2.98, 4 Os 3.00, 2 Ba 3.04

Total magnetization = 0.00 μB per formula unit
Distance to the lowest polymorph of the same formula = 1004 meV per atom
Total energy = -5.415 eV per atom
Volume = 20.82 Å³ per atom
Energy of formation = 1.18 eV/atom
Space-group type = No. 71

Entry 9:
The following is a DFT calculation (PBE-GGA) of a relaxed BaCa4Os crystal.

abc: 6.6065 6.6065 6.6065
angles: 60.00 60.00 60.00
Closest atoms and distances in Å follow each position.
Atoms (fractional coordinates):
Ba  0.0000  0.0000  0.0000  12 Ca 3.88, 4 Os 4.05
Ca  0.1312  0.6229  0.6229  6 Ca 3.25-3.36
Ca  0.6229  0.1312  0.6229  6 Ca 3.25-3.36
Ca  0.6229  0.6229  0.1312  6 Ca 3.25-3.36
Ca  0.6229  0.6229  0.6229  6 Ca 3.25-3.36
Os  0.2500  0.2500  0.2500  12 Ca 3.87, 4 Ba 4.05

Total magnetization = 0.00 μB per formula unit
Total energy = -2.592 eV per atom
Volume = 33.98 Å³ per atom
Energy of formation = 0.93 eV/atom
Space-group type = No. 216

Entry 10:
The following is a DFT calculation (PBE-GGA) of a relaxed BaCaOs4 crystal.

abc: 5.4985 5.4985 5.4985
angles: 60.00 60.00 60.00
Closest atoms and distances in Å follow each position.
Atoms (fractional coordinates):
Ba  0.0000  0.0000  0.0000  12 Os 3.23, 4 Ca 3.37
Ca  0.7500  0.7500  0.7500  12 Os 3.22, 4 Ba 3.37
Os  0.3756  0.3756  0.3756  6 Os 2.74-2.76
Os  0.3756  0.3756  0.8731  6 Os 2.74-2.76
Os  0.3756  0.8731  0.3756  6 Os 2.74-2.76
Os  0.8731  0.3756  0.3756  6 Os 2.74-2.76

Total magnetization = 1.95 μB per formula unit
Total energy = -7.600 eV per atom
Volume = 19.59 Å³ per atom
Energy of formation = 0.54 eV/atom
Space-group type = No. 216

Entry 11:
The following is a DFT calculation (PBE-GGA) of a relaxed BaCa2OsRu crystal.

abc: 5.5586 5.5586 4.7814
angles: 90.00 90.00 90.00
Closest atoms and distances in Å follow each position.
Atoms (fractional coordinates):
Ba  0.0000  0.0000  0.0000  8 Ca 3.67, 4 Ru 3.93
Ca  0.0000  0.5000  0.5000  2 Os 2.78
Ca  0.5000  0.0000  0.5000  2 Os 2.78
Os  0.5000  0.5000  0.5000  2 Ru 2.39
Ru  0.5000  0.5000  0.0000  2 Os 2.39

Total magnetization = 0.00 μB per formula unit
Total energy = -4.828 eV per atom
Volume = 29.55 Å³ per atom
Energy of formation = 0.46 eV/atom
Space-group type = No. 123

Entry 12:
The following is a DFT calculation (PBE-GGA) of a relaxed BaCa2OsS crystal.

abc: 5.3821 5.3821 5.7077
angles: 90.00 90.00 90.00
Closest atoms and distances in Å follow each position.
Atoms (fractional coordinates):
Ba  0.0000  0.0000  0.0000  2 Os 2.85
Ca  0.0000  0.5000  0.5000  2 Os 2.69
Ca  0.5000  0.0000  0.5000  2 Os 2.69
Os  0.0000  0.0000  0.5000  4 Ca 2.69, 2 Ba 2.85
S  0.5000  0.5000  0.0000  4 Ba 3.81, 8 Ca 3.92

Total magnetization = 0.00 μB per formula unit
Total energy = -4.257 eV per atom
Volume = 33.07 Å³ per atom
Space-group type = No. 123
Formation energy without anion corrections = -1 meV per atom

Entry 13:
The following is a DFT calculation (PBE-GGA) of a relaxed BaCa2TeOs crystal.

abc: 5.5688 5.5688 5.3061
angles: 90.00 90.00 90.00
Closest atoms and distances in Å follow each position.
Atoms (fractional coordinates):
Ba  0.0000  0.0000  0.0000  8 Ca 3.85, 4 Te 3.94
Ca  0.0000  0.5000  0.5000  2 Os 2.78
Ca  0.5000  0.0000  0.5000  2 Os 2.78
Te  0.5000  0.5000  0.0000  2 Os 2.65
Os  0.5000  0.5000  0.5000  2 Te 2.65, 4 Ca 2.78

Total magnetization = 0.00 μB per formula unit
Total energy = -4.066 eV per atom
Volume = 32.91 Å³ per atom
Space-group type = No. 123
Formation energy without anion corrections = -6 meV per atom

Entry 14:
The following is a DFT calculation (PBE-GGA) of a relaxed BaCa2P crystal.

abc: 7.6657 7.6657 7.6657
angles: 100.80 100.80 128.70
Closest atoms and distances in Å follow each position.
Atoms (fractional coordinates):
Ba  0.0000  0.0000  0.0000  2 P 3.32
Ba  0.7500  0.2500  0.5000  2 P 3.32
Ca  0.2417  0.6250  0.1167  2 P 2.89
Ca  0.3750  0.4917  0.6167  2 P 2.89
Ca  0.5083  0.1250  0.8833  2 P 2.89
Ca  0.8750  0.7583  0.3833  2 P 2.89
P  0.2500  0.7500  0.5000  4 Ca 2.89
P  0.5000  0.5000  0.0000  4 Ca 2.89

Total magnetization = 0.00 μB per formula unit
Total energy = -3.287 eV per atom
Volume = 39.61 Å³ per atom
Energy of formation = -0.45 eV/atom
Space-group type = No. 122

Entry 15:
The following is a DFT calculation (PBE-GGA) of a relaxed Ba2CaP2 crystal.

abc: 9.9524 8.3672 8.2515
angles: 90.00 97.88 90.00
Closest atoms and distances in Å follow each position.
Atoms (fractional coordinates):
Ba  0.0714  0.2283  0.0371  5 P 3.20-3.57
Ba  0.0714  0.2717  0.5371  5 P 3.20-3.57
Ba  0.3241  0.6540  0.9378  4 P 3.20-3.57
Ba  0.3241  0.8460  0.4378  4 P 3.20-3.57
Ba  0.6759  0.1540  0.5622  4 P 3.20-3.57
Ba  0.6759  0.3460  0.0622  4 P 3.20-3.57
Ba  0.9286  0.7283  0.4629  5 P 3.20-3.57
Ba  0.9286  0.7717  0.9629  5 P 3.20-3.57
Ca  0.3758  0.0915  0.8518  4 P 2.79-2.85
Ca  0.3758  0.4085  0.3518  4 P 2.79-2.85
Ca  0.6242  0.5915  0.6482  4 P 2.79-2.85
Ca  0.6242  0.9085  0.1482  4 P 2.79-2.85
P  0.1279  0.5646  0.2390  1 Ca 2.83
P  0.1279  0.9354  0.7390  1 Ca 2.83
P  0.4097  0.1173  0.1990  3 Ca 2.79-2.85
P  0.4097  0.3827  0.6990  3 Ca 2.79-2.85
P  0.5903  0.6173  0.3010  3 Ca 2.79-2.85
P  0.5903  0.8827  0.8010  3 Ca 2.79-2.85
P  0.8721  0.0646  0.2610  1 Ca 2.83
P  0.8721  0.4354  0.7610  1 Ca 2.83

Total magnetization = 0.00 μB per formula unit
Distance to the lowest polymorph of the same formula = 0 meV per atom
Total energy = -4.395 eV per atom
Volume = 34.03 Å³ per atom
Energy of formation = -1.06 eV/atom
Space-group type = No. 14

Entry 16:
The following is a DFT calculation (PBE-GGA) of a relaxed BaCa4P crystal.

abc: 6.9737 6.9737 6.9737
angles: 60.00 60.00 60.00
Closest atoms and distances in Å follow each position.
Atoms (fractional coordinates):
Ba  0.0000  0.0000  0.0000  12 Ca 4.09, 4 P 4.27
Ca  0.1280  0.6240  0.6240  6 Ca 3.46-3.51
Ca  0.6240  0.1280  0.6240  6 Ca 3.46-3.51
Ca  0.6240  0.6240  0.1280  6 Ca 3.46-3.51
Ca  0.6240  0.6240  0.6240  6 Ca 3.46-3.51
P  0.2500  0.2500  0.2500  12 Ca 4.09, 4 Ba 4.27

Total magnetization = 0.00 μB per formula unit
Total energy = -2.240 eV per atom
Volume = 39.97 Å³ per atom
Energy of formation = 0.32 eV/atom
Space-group type = No. 216

Entry 17:
The following is a DFT calculation (PBE-GGA) of a relaxed BaCa2P crystal.

abc: 7.0355 7.0355 9.1622
angles: 90.00 90.00 143.44
Closest atoms and distances in Å follow each position.
Atoms (fractional coordinates):
Ba  0.0597  0.9403  0.7500  2 P 3.45, 4 Ca 3.83
Ba  0.9403  0.0597  0.2500  2 P 3.45, 4 Ca 3.83
Ca  0.3448  0.6552  0.5626  3 P 3.03-3.18
Ca  0.3448  0.6552  0.9374  3 P 3.03-3.18
Ca  0.6552  0.3448  0.0626  3 P 3.03-3.18
Ca  0.6552  0.3448  0.4374  3 P 3.03-3.18
P  0.2419  0.7581  0.2500  6 Ca 3.03-3.18
P  0.7581  0.2419  0.7500  6 Ca 3.03-3.18

Total magnetization = 0.90 μB per formula unit
Total energy = -3.404 eV per atom
Volume = 33.77 Å³ per atom
Energy of formation = -0.57 eV/atom
Space-group type = No. 63

Entry 18:
The following is a DFT calculation (PBE-GGA) of a relaxed Ba3CaP crystal.

abc: 6.3856 6.3856 6.3856
angles: 90.00 90.00 90.00
Closest atoms and distances in Å follow each position.
Atoms (fractional coordinates):
Ba  0.0000  0.0000  0.5000  2 P 3.19
Ba  0.0000  0.5000  0.0000  2 P 3.19
Ba  0.5000  0.0000  0.0000  2 P 3.19
Ca  0.5000  0.5000  0.5000  12 Ba 4.52
P  0.0000  0.0000  0.0000  6 Ba 3.19

Total magnetization = 0.00 μB per formula unit
Distance to the lowest polymorph of the same formula = 0 meV per atom
Total energy = -3.051 eV per atom
Volume = 52.08 Å³ per atom
Energy of formation = -0.41 eV/atom
Space-group type = No. 221

Entry 19:
The following is a DFT calculation (PBE-GGA) of a relaxed Ba2CaP2 crystal.

abc: 8.8743 8.8743 3.9267
angles: 90.00 90.00 90.00
Closest atoms and distances in Å follow each position.
Atoms (fractional coordinates):
Ba  0.1286  0.3714  0.0000  6 P 3.16-3.35, 1 Ba 3.23, 2 Ca 3.49
Ba  0.3714  0.8714  0.0000  6 P 3.16-3.35, 1 Ba 3.23, 2 Ca 3.49
Ba  0.6286  0.1286  0.0000  6 P 3.16-3.35, 1 Ba 3.23, 2 Ca 3.49
Ba  0.8714  0.6286  0.0000  6 P 3.16-3.35, 1 Ba 3.23, 2 Ca 3.49
Ca  0.0000  0.0000  0.0000  4 Ba 3.49, 8 P 3.82
Ca  0.5000  0.5000  0.0000  4 Ba 3.49, 8 P 3.82
P  0.1745  0.6745  0.5000  6 Ba 3.16-3.35
P  0.3255  0.1745  0.5000  6 Ba 3.16-3.35
P  0.6745  0.8255  0.5000  6 Ba 3.16-3.35
P  0.8255  0.3255  0.5000  6 Ba 3.16-3.35

Total magnetization = 0.00 μB per formula unit
Distance to the lowest polymorph of the same formula = 521 meV per atom
Total energy = -3.874 eV per atom
Volume = 30.92 Å³ per atom
Energy of formation = -0.54 eV/atom
Space-group type = No. 127

Entry 20:
The following is a DFT calculation (PBE-GGA) of a relaxed BaCaP3 crystal.

abc: 5.5474 5.5474 5.5474
angles: 90.00 90.00 90.00
Closest atoms and distances in Å follow each position.
Atoms (fractional coordinates):
Ba  0.0000  0.0000  0.0000  6 P 2.77
Ca  0.5000  0.5000  0.5000  12 P 3.92
P  0.0000  0.0000  0.5000  2 Ba 2.77
P  0.0000  0.5000  0.0000  2 Ba 2.77
P  0.5000  0.0000  0.0000  2 Ba 2.77

Total magnetization = 0.00 μB per formula unit
Distance to the lowest polymorph of the same formula = 692 meV per atom
Total energy = -3.327 eV per atom
Volume = 34.14 Å³ per atom
Energy of formation = 0.70 eV/atom
Space-group type = No. 221